Record 1
# NpAl2Pb GGA-PBE optimized geometry
data_NpAl2Pb
_chemical_formula_sum 'Np1 Al2 Pb1'
_symmetry_space_group_name_H-M 'P 4/m m m'
_symmetry_Int_Tables_number 123
_symmetry_space_group_name_Hall '-P 4 2'
_cell_length_a 4.509
_cell_length_b 4.509
_cell_length_c 4.347
_cell_angle_alpha 90.00
_cell_angle_beta 90.00
_cell_angle_gamma 90.00
loop_
_atom_site_label
_atom_site_type_symbol
_atom_site_fract_x
_atom_site_fract_y
_atom_site_fract_z
Np1 Np 0.000 0.000 0.000
Al1 Al 0.000 0.500 0.500
Pb1 Pb 0.500 0.500 0.000
# crystal system: tetragonal
# energy of formation from the pure elements: 0.058 eV/atom



Record 2
# NpAlPb2S5 GGA-PBE optimized geometry
data_NpAlPb2S5
_chemical_formula_sum 'Np4 Al4 Pb8 S20'
_symmetry_space_group_name_H-M 'C m c 21'
_symmetry_Int_Tables_number 36
_cell_length_a 3.950
_cell_length_b 17.743
_cell_length_c 12.801
_cell_angle_alpha 90.00
_cell_angle_beta 90.00
_cell_angle_gamma 90.00
loop_
_symmetry_equiv_pos_as_xyz
'x,y,z'
'-x,-y,z+1/2'
'-x,y,z'
'x,-y,z+1/2'
'x+1/2,y+1/2,z'
'-x+1/2,-y+1/2,z+1/2'
'-x+1/2,y+1/2,z'
'x+1/2,-y+1/2,z+1/2'
loop_
_atom_site_label
_atom_site_type_symbol
_atom_site_fract_x
_atom_site_fract_y
_atom_site_fract_z
Np1 Np 0.000 0.200 0.000
Al1 Al 0.000 0.446 0.396
Pb1 Pb 0.000 0.120 0.294
Pb2 Pb 0.000 0.128 0.639
S1 S 0.000 0.037 0.991
S2 S 0.000 0.294 0.645
S3 S 0.000 0.321 0.351
S4 S 0.000 0.353 0.984
S5 S 0.000 0.492 0.745
# ΔE_f (raw): -7.91 eV/f.u.
# crystal system: orthorhombic



Record 3
# NpAl6Pd3 GGA-PBE optimized geometry
data_NpAl6Pd3
_chemical_formula_sum 'Np2 Al12 Pd6'
_symmetry_space_group_name_H-M 'P 1 21/m 1'
_symmetry_Int_Tables_number 11
_cell_length_a 9.971
_cell_length_b 2.969
_cell_length_c 11.628
_cell_angle_alpha 90.00
_cell_angle_beta 99.19
_cell_angle_gamma 90.00
loop_
_symmetry_equiv_pos_as_xyz
'x,y,z'
'-x,-y,-z'
'-x,y+1/2,-z'
'x,-y+1/2,z'
loop_
_atom_site_label
_atom_site_type_symbol
_atom_site_fract_x
_atom_site_fract_y
_atom_site_fract_z
Np1 Np 0.008 0.250 0.258
Al1 Al 0.113 0.750 0.495
Al2 Al 0.216 0.250 0.902
Al3 Al 0.247 0.250 0.675
Al4 Al 0.314 0.250 0.222
Al5 Al 0.411 0.750 0.052
Al6 Al 0.452 0.750 0.594
Pd1 Pd 0.151 0.750 0.069
Pd2 Pd 0.302 0.250 0.438
Pd3 Pd 0.418 0.750 0.818
# crystal system: monoclinic
# energy of formation from the pure elements: -0.421 eV/atom



Record 4
# Np2Al12Pd GGA-PBE optimized geometry
data_Np2Al12Pd
_chemical_formula_sum 'Np4 Al24 Pd2'
_symmetry_space_group_name_H-M 'P 4/n b m'
_symmetry_Int_Tables_number 125
_cell_length_a 5.955
_cell_length_b 5.955
_cell_length_c 16.153
_cell_angle_alpha 90.00
_cell_angle_beta 90.00
_cell_angle_gamma 90.00
loop_
_symmetry_equiv_pos_as_xyz
'x,y,z'
'-x,-y,-z'
'-y+1/2,x,z'
'y+1/2,-x,-z'
'-x+1/2,-y+1/2,z'
'x+1/2,y+1/2,-z'
'y,-x+1/2,z'
'-y,x+1/2,-z'
'x,-y+1/2,-z'
'-x,y+1/2,z'
'-y+1/2,-x+1/2,-z'
'y+1/2,x+1/2,z'
'-x+1/2,y,-z'
'x+1/2,-y,z'
'y,x,-z'
'-y,-x,z'
loop_
_atom_site_label
_atom_site_type_symbol
_atom_site_fract_x
_atom_site_fract_y
_atom_site_fract_z
Np1 Np 0.250 0.750 0.248
Al1 Al 0.000 0.000 0.089
Al2 Al 0.081 0.581 0.430
Al3 Al 0.250 0.250 0.187
Al4 Al 0.250 0.250 0.340
Pd1 Pd 0.250 0.750 0.000
# crystal system: tetragonal
# energy of formation from the pure elements: -0.133 eV/atom